A relaxed PrAl2ZnAg crystal. Source: OQMD via LeMat-Bulk, functional PBE-GGA.

Summary:
E: -18.3 eV per cell
Density: 5.97 Mg/m³
SG: I4mm, No. 107

Cell lengths 6.351, 6.351, 6.351 Å; angles 140.59, 140.59, 56.96 degrees
Atoms (fractional coordinates):
1 Al 0.248 0.748 0.500
2 Al 0.748 0.248 0.500
3 Pr 0.008 0.008 0.000
4 Zn 0.614 0.614 0.000
5 Ag 0.382 0.382 0.000

=====

A relaxed BaPrAg crystal. Source: OQMD via LeMat-Bulk, functional PBE-GGA.

Summary:
E: -9.1 eV per cell
Density: 5.56 Mg/m³
SG: F-43m, No. 216

Cell lengths 5.463, 5.463, 5.463 Å; angles 60.00, 60.00, 60.00 degrees
Each line ends with the local moment (μB).
Atoms (fractional coordinates):
1 Pr 0.750 0.750 0.750  0.20
2 Ba 0.250 0.250 0.250  0.06
3 Ag 0.000 0.000 0.000  0.03

=====

A relaxed Tm2H5 crystal. Source: OQMD via LeMat-Bulk, functional PBE-GGA.

Summary:
E: -60.5 eV per cell
Density: 9.01 Mg/m³
SG: I4_1md, No. 109

Cell lengths 6.172, 6.172, 6.172 Å; angles 132.23, 132.23, 69.86 degrees
Atoms (fractional coordinates):
1 H 0.119 0.135 0.517
2 Tm 0.496 0.496 0.000
3 Tm 0.992 0.992 0.000
4 H 0.619 0.135 0.017
5 H 0.743 0.743 0.000
6 H 0.493 0.993 0.500
7 H 0.619 0.602 0.483
8 H 0.885 0.369 0.017
9 H 0.885 0.869 0.517
10 H 0.352 0.869 0.983
11 Tm 0.246 0.746 0.500
12 Tm 0.742 0.242 0.500
13 H 0.119 0.602 0.983
14 H 0.352 0.369 0.483

=====

The lowest E belongs to which entry?
Tm2H5

=====

Look up the density of the first one.
5.97 Mg/m³